1.
Material: CeDy2In2
Method: DFT, PBE
State: relaxed

Results
- energy of formation (eV per formula unit) = -0.8
- total magnetization (μB/f.u.) = 0.86
- E (eV/cell) = -21.366
- symmetry = P-3m1 (164)

Lattice parameters (Å, degrees): 5.2879 5.2879 6.4716 90.00 90.00 120.00
Positions (direct):
Ce: 0.0000 0.0000 0.0000
Dy: 0.3333 0.6667 0.6602
Dy: 0.6667 0.3333 0.3398
In: 0.3333 0.6667 0.1800
In: 0.6667 0.3333 0.8200

***

2.
Material: Ce9Dy4In11
Method: DFT, PBE
State: relaxed

Results
- energy of formation (eV per formula unit) = -7.6
- total magnetization (μB/f.u.) = 8.95
- E (eV/cell) = -109.541
- symmetry = Cmmm (65)

Lattice parameters (Å, degrees): 14.7587 14.7587 3.3836 90.00 90.00 116.79
Positions (direct):
Ce: 0.0000 0.0000 0.0000
Ce: 0.1357 0.6848 0.0000
Ce: 0.2967 0.4739 0.0000
Ce: 0.3152 0.8643 0.0000
Ce: 0.4739 0.2967 0.0000
Ce: 0.5261 0.7033 0.0000
Ce: 0.6848 0.1357 0.0000
Ce: 0.7033 0.5261 0.0000
Ce: 0.8643 0.3152 0.0000
Dy: 0.0774 0.2681 0.0000
Dy: 0.2681 0.0774 0.0000
Dy: 0.7319 0.9226 0.0000
Dy: 0.9226 0.7319 0.0000
In: 0.0894 0.4649 0.5000
In: 0.1196 0.8804 0.5000
In: 0.2542 0.2542 0.5000
In: 0.3229 0.6771 0.5000
In: 0.4649 0.0894 0.5000
In: 0.5000 0.5000 0.5000
In: 0.5351 0.9106 0.5000
In: 0.6771 0.3229 0.5000
In: 0.7458 0.7458 0.5000
In: 0.8804 0.1196 0.5000
In: 0.9106 0.5351 0.5000

***

3.
Material: LiCeDy2In4
Method: DFT, PBE
State: relaxed

Results
- energy of formation (eV per formula unit) = -3.0
- total magnetization (μB/f.u.) = 0.77
- E (eV/cell) = -31.028
- symmetry = R-3m (166)

Lattice parameters (Å, degrees): 9.3605 9.3605 9.3605 32.40 32.40 32.40
Positions (direct):
Li: 0.0000 0.0000 0.0000
Ce: 0.5000 0.5000 0.5000
Dy: 0.2542 0.2542 0.2542
Dy: 0.7458 0.7458 0.7458
In: 0.1217 0.1217 0.1217
In: 0.3725 0.3725 0.3725
In: 0.6275 0.6275 0.6275
In: 0.8783 0.8783 0.8783